# PBE-GGA Ti2AgAs2, relaxed
data_Ti2AgAs2
_symmetry_space_group_name_H-M 'P 1'
_symmetry_Int_Tables_number 1
_cell_length_a 7.244
_cell_length_b 7.244
_cell_length_c 3.328
_cell_angle_alpha 90.00
_cell_angle_beta 90.00
_cell_angle_gamma 90.00
loop_
_symmetry_equiv_pos_as_xyz
'x,y,z'
loop_
_atom_site_label
_atom_site_type_symbol
_atom_site_fract_x
_atom_site_fract_y
_atom_site_fract_z
Ag1 Ag 0.000 0.000 0.000
Ag2 Ag 0.500 0.500 0.000
Ti1 Ti 0.138 0.362 0.000
Ti2 Ti 0.638 0.138 0.000
Ti3 Ti 0.862 0.638 0.000
Ti4 Ti 0.362 0.862 0.000
As1 As 0.345 0.155 0.500
As2 As 0.155 0.655 0.500
As3 As 0.655 0.845 0.500
As4 As 0.845 0.345 0.500
# Energy relative to the lowest polymorph listed for this composition in meV per atom: 89
# Space group: No. 127
# Formation energy in eV per atom: -0.435